Compound: Pm2Al5Ga3
Source: the Alexandria database
Functional: PBE
Structure: relaxed

Summary:
Space group: P-4m2 (115)
ΔE_f in eV per atom: -0.359
Size of the total moment in μB per formula unit: 0.0

Cell and atoms, written as POSCAR:
```
Pm2Al5Ga3
1.0
-3.127 -1.840 -2.225
-0.115 -3.198 2.806
-7.570 5.565 6.034
Ga Al Pm
3 5 2
direct
0.500 0.000 0.637
0.000 0.500 0.363
0.000 0.000 0.500
0.000 0.000 0.000
0.500 0.500 0.000
0.500 0.500 0.500
0.000 0.500 0.140
0.500 0.000 0.860
0.500 0.000 0.245
0.000 0.500 0.755
```

=====

Compound: Pm3Al3Ga
Source: the Alexandria database
Functional: PBE
Structure: relaxed

Summary:
Space group: Imm2 (44)
ΔE_f in eV per atom: -0.457
Size of the total moment in μB per formula unit: 0.7

Cell and atoms, written as POSCAR:
```
Pm3Al3Ga
1.0
4.324 0.000 -0.943
-0.197 3.881 -0.901
-0.019 0.340 10.294
Al Pm Ga
3 3 1
direct
0.863 0.363 0.725
0.138 0.638 0.275
0.565 0.565 0.129
0.311 0.811 0.621
0.691 0.191 0.382
0.999 0.999 0.997
0.435 0.435 0.870
```

=====

Compound: Pm3Al2Ga6
Source: the Alexandria database
Functional: PBE
Structure: relaxed

Summary:
Space group: I4/mmm (139)
ΔE_f in eV per atom: -0.388
Size of the total moment in μB per formula unit: 0.0

Cell and atoms, written as POSCAR:
```
Pm3Al2Ga6
1.0
-1.837 -3.729 -0.301
2.747 -1.572 2.712
-9.290 6.119 9.755
Ga Pm Al
6 3 2
direct
0.921 0.421 0.843
0.731 0.731 0.462
0.269 0.269 0.538
0.421 0.921 0.843
0.079 0.579 0.157
0.579 0.079 0.157
0.834 0.834 0.668
0.000 0.000 0.000
0.166 0.166 0.332
0.638 0.638 0.277
0.362 0.362 0.723
```

=====

Compound: Pm2AlGa4
Source: the Alexandria database
Functional: PBE
Structure: relaxed

Summary:
Space group: Fmm2 (42)
ΔE_f in eV per atom: -0.396
Size of the total moment in μB per formula unit: 0.0

Cell and atoms, written as POSCAR:
```
Pm2AlGa4
1.0
-5.755 -1.725 -1.229
-0.551 -1.369 5.953
1.792 5.526 -1.573
Pm Ga Al
2 4 1
direct
0.214 0.786 0.500
0.714 0.286 0.500
0.714 0.785 0.499
0.714 0.785 0.000
0.215 0.286 0.000
0.215 0.286 0.501
0.213 0.787 0.000
```

=====

Compound: Pm2AlGa2
Source: the Alexandria database
Functional: PBE
Structure: relaxed

Summary:
Space group: C2/m (12)
ΔE_f in eV per atom: -0.595
Size of the total moment in μB per formula unit: 0.0

Cell and atoms, written as POSCAR:
```
Pm2AlGa2
1.0
4.341 0.000 1.023
2.072 5.546 0.930
0.001 -0.113 9.722
Pm Al Ga
4 2 4
direct
0.500 0.675 0.325
0.684 0.732 0.901
0.500 0.325 0.675
0.316 0.268 0.099
0.217 0.912 0.654
0.783 0.088 0.346
0.142 0.279 0.437
0.021 0.843 0.114
0.979 0.157 0.886
0.858 0.721 0.563
```

=====

Compound: PmAl3Ga3
Source: the Alexandria database
Functional: PBE
Structure: relaxed

Summary:
Space group: Pm-3n (223)
ΔE_f in eV per atom: 0.191
Size of the total moment in μB per formula unit: 0.0

Cell and atoms, written as POSCAR:
```
PmAl3Ga3
1.0
6.976 0.000 0.000
0.000 6.976 0.000
0.000 0.000 6.976
Al Ga Pm
6 6 2
direct
0.500 0.000 0.250
0.750 0.500 0.000
0.500 0.000 0.750
0.000 0.250 0.500
0.000 0.750 0.500
0.250 0.500 0.000
0.000 0.500 0.750
0.000 0.500 0.250
0.500 0.750 0.000
0.500 0.250 0.000
0.750 0.000 0.500
0.250 0.000 0.500
0.000 0.000 0.000
0.500 0.500 0.500
```

=====

Compound: PmAlGa4
Source: the Alexandria database
Functional: PBE
Structure: relaxed

Summary:
Space group: C2/m (12)
ΔE_f in eV per atom: -0.187
Size of the total moment in μB per formula unit: 0.0

Cell and atoms, written as POSCAR:
```
PmAlGa4
1.0
-0.618 -4.804 1.066
5.093 -2.948 -0.827
3.706 -0.673 3.872
Ga Pm Al
4 1 1
direct
0.500 0.204 0.591
0.000 0.349 0.303
0.500 0.796 0.409
0.000 0.651 0.697
0.000 0.000 0.000
0.500 0.500 0.000
```

=====

Compound: Pm2Al3Ga6
Source: the Alexandria database
Functional: PBE
Structure: relaxed

Summary:
Space group: Cmmm (65)
ΔE_f in eV per atom: -0.264
Size of the total moment in μB per formula unit: 0.0

Cell and atoms, written as POSCAR:
```
Pm2Al3Ga6
1.0
-0.029 -2.788 -2.809
7.133 1.983 -2.044
1.387 -5.368 5.315
Ga Al Pm
6 3 2
direct
0.500 0.352 0.038
0.500 0.622 0.622
0.500 0.038 0.352
0.500 0.648 0.962
0.500 0.378 0.378
0.500 0.962 0.648
0.500 0.000 0.000
0.000 0.198 0.198
0.000 0.802 0.802
0.000 0.305 0.695
0.000 0.695 0.305
```